Record 1
# Nd3H12Ir5

Crystalline Nd3H12Ir5 at its relaxed geometry (PBE, Alexandria via LeMat-Bulk).

The structure in POSCAR format:
```
Nd3H12Ir5
1.0
10.3078 0.0000 0.0000
-3.4359 9.7182 0.0000
-3.4359 -4.8591 8.4163
H Ir Nd
48 20 12
Cartesian
-1.8780 2.0276 5.0034 H
2.6162 3.7857 3.4497 H
2.4568 3.5602 0.7584 H
0.9791 -1.3062 7.6705 H
0.9791 1.2989 7.6579 H
3.7554 4.0193 6.8626 H
7.6107 4.8518 1.5041 H
-0.8982 5.9326 3.4497 H
0.8197 1.0734 4.9665 H
4.4151 4.8664 1.5041 H
-4.3342 2.4508 5.7617 H
4.2556 7.3100 2.6545 H
6.7118 0.8897 0.0495 H
7.0319 -2.0276 5.0034 H
5.4734 -0.8398 1.5536 H
1.5579 6.8010 3.4624 H
-1.8780 -3.9695 8.3667 H
-0.7388 6.1580 0.7584 H
-0.3195 0.8398 1.5536 H
-0.7388 3.5529 0.7457 H
4.8344 5.5233 4.2577 H
5.9736 -3.5243 7.6210 H
6.5524 0.6642 4.1586 H
1.3985 3.3551 5.7122 H
1.8780 -1.9418 4.9538 H
-3.2759 3.9695 8.3667 H
-4.1747 0.0073 6.9122 H
4.2556 1.3348 0.7952 H
0.1600 2.9173 3.4624 H
7.7701 2.4083 2.6545 H
-0.8197 3.5243 7.6210 H
-2.5377 8.3834 0.7952 H
3.1164 -1.5040 2.7040 H
-0.9791 -0.0073 6.9122 H
0.3195 6.3631 5.7122 H
-3.5960 6.8868 3.4129 H
4.3342 -1.0734 4.9665 H
2.4568 6.1654 0.7457 H
-0.8197 -2.4508 5.7617 H
4.1747 1.3062 7.6705 H
4.1747 -1.2989 7.6579 H
2.0374 1.5040 2.7040 H
-1.3985 -0.6642 4.1586 H
5.3139 2.8315 3.4129 H
5.3139 8.8286 0.0495 H
-3.1164 4.1949 4.2577 H
-2.0374 5.6989 6.8626 H
3.2759 1.9418 4.9538 H
0.8590 -2.4296 6.3122 Ir
-0.8590 0.6074 5.2602 Ir
6.0129 -0.6074 5.2602 Ir
-1.7180 -2.4296 4.2081 Ir
5.1539 0.0000 0.0000 Ir
2.5769 1.8222 1.0520 Ir
3.4359 4.8591 0.0000 Ir
-0.8590 7.8961 1.0520 Ir
1.7180 2.4296 4.2081 Ir
0.0000 0.0000 0.0000 Ir
-2.5769 5.4665 3.1561 Ir
4.2949 -3.0370 7.3642 Ir
2.5769 7.2887 2.1041 Ir
3.4359 -2.4296 4.2081 Ir
4.2949 4.2517 3.1561 Ir
-0.8590 2.4296 2.1041 Ir
0.8590 3.0370 7.3642 Ir
4.2949 2.4296 6.3122 Ir
-1.7180 4.8591 0.0000 Ir
-3.4359 2.4296 4.2081 Ir
2.5769 5.4665 5.2602 Nd
-4.2949 4.8591 6.3122 Nd
7.7308 0.0000 2.1041 Nd
0.8590 -0.6074 3.1561 Nd
4.2949 0.6074 3.1561 Nd
-0.8590 4.2517 5.2602 Nd
-2.5769 -1.8222 7.3642 Nd
6.0129 6.6813 1.0520 Nd
0.8590 4.8591 2.1041 Nd
6.0129 3.0370 1.0520 Nd
-2.5769 1.8222 7.3642 Nd
2.5769 0.0000 6.3122 Nd
```

Calculated values
Volume in Å³/cell: 843
Theoretical density in g/cm3: 11.08
Electronic total energy in eV per atom: -5.13

Record 2
# Nd4HIr2

Crystalline Nd4HIr2 at its relaxed geometry (PBE, Alexandria via LeMat-Bulk).

The structure in POSCAR format:
```
Nd4HIr2
1.0
4.7693 0.0000 0.0000
0.0000 4.7693 0.0000
2.3846 2.3846 7.3766
Nd H Ir
4 1 2
Cartesian
2.3846 0.0000 0.0000 Nd
2.3846 2.3846 4.5691 Nd
4.7693 4.7693 2.8075 Nd
0.0000 2.3846 0.0000 Nd
0.0000 0.0000 0.0000 H
2.3846 2.3846 1.8550 Ir
4.7693 4.7693 5.5216 Ir
```

Calculated values
Volume in Å³/cell: 168
Theoretical density in g/cm3: 9.52
Electronic total energy in eV per atom: -6.18

Record 3
# NdH6Ir

Crystalline NdH6Ir at its relaxed geometry (PBE, Alexandria via LeMat-Bulk).

The structure in POSCAR format:
```
NdH6Ir
1.0
4.0475 0.0000 2.1146
1.4714 3.7706 2.1146
0.1121 0.0766 4.7163
H Ir Nd
6 1 1
Cartesian
4.3628 1.6862 6.4420 H
5.0516 3.4513 7.4318 H
0.5794 0.3959 1.5136 H
2.4741 0.3959 2.5035 H
1.2682 2.1610 2.5035 H
3.1569 3.4513 6.4420 H
0.0000 0.0000 0.0000 Ir
2.8155 1.9236 4.4727 Nd
```

Calculated values
Volume in Å³/cell: 71
Theoretical density in g/cm3: 8.05
Electronic total energy in eV per atom: -4.69

Record 4
# Nd2HIr

Crystalline Nd2HIr at its relaxed geometry (PBE, Alexandria via LeMat-Bulk).

The structure in POSCAR format:
```
Nd2HIr
1.0
-2.6108 -2.9050 -0.7346
0.2604 -3.4481 1.9591
-4.9702 0.3888 5.3760
Ir H Nd
1 1 2
Cartesian
-6.5207 -3.8564 6.1728 Ir
-3.7238 -2.9441 3.3756 H
-3.9582 -0.2171 4.1752 Nd
-1.7485 -1.5400 1.5532 Nd
```

Calculated values
Volume in Å³/cell: 95
Relative energy among the computed polymorphs in meV per atom: 200
Theoretical density in g/cm3: 8.40
Electronic total energy in eV per atom: -5.81

Repeat the third record exactly.
# NdH6Ir

Crystalline NdH6Ir at its relaxed geometry (PBE, Alexandria via LeMat-Bulk).

The structure in POSCAR format:
```
NdH6Ir
1.0
4.0475 0.0000 2.1146
1.4714 3.7706 2.1146
0.1121 0.0766 4.7163
H Ir Nd
6 1 1
Cartesian
4.3628 1.6862 6.4420 H
5.0516 3.4513 7.4318 H
0.5794 0.3959 1.5136 H
2.4741 0.3959 2.5035 H
1.2682 2.1610 2.5035 H
3.1569 3.4513 6.4420 H
0.0000 0.0000 0.0000 Ir
2.8155 1.9236 4.4727 Nd
```

Calculated values
Volume in Å³/cell: 71
Theoretical density in g/cm3: 8.05
Electronic total energy in eV per atom: -4.69

Repeat the first record exactly.
# Nd3H12Ir5

Crystalline Nd3H12Ir5 at its relaxed geometry (PBE, Alexandria via LeMat-Bulk).

The structure in POSCAR format:
```
Nd3H12Ir5
1.0
10.3078 0.0000 0.0000
-3.4359 9.7182 0.0000
-3.4359 -4.8591 8.4163
H Ir Nd
48 20 12
Cartesian
-1.8780 2.0276 5.0034 H
2.6162 3.7857 3.4497 H
2.4568 3.5602 0.7584 H
0.9791 -1.3062 7.6705 H
0.9791 1.2989 7.6579 H
3.7554 4.0193 6.8626 H
7.6107 4.8518 1.5041 H
-0.8982 5.9326 3.4497 H
0.8197 1.0734 4.9665 H
4.4151 4.8664 1.5041 H
-4.3342 2.4508 5.7617 H
4.2556 7.3100 2.6545 H
6.7118 0.8897 0.0495 H
7.0319 -2.0276 5.0034 H
5.4734 -0.8398 1.5536 H
1.5579 6.8010 3.4624 H
-1.8780 -3.9695 8.3667 H
-0.7388 6.1580 0.7584 H
-0.3195 0.8398 1.5536 H
-0.7388 3.5529 0.7457 H
4.8344 5.5233 4.2577 H
5.9736 -3.5243 7.6210 H
6.5524 0.6642 4.1586 H
1.3985 3.3551 5.7122 H
1.8780 -1.9418 4.9538 H
-3.2759 3.9695 8.3667 H
-4.1747 0.0073 6.9122 H
4.2556 1.3348 0.7952 H
0.1600 2.9173 3.4624 H
7.7701 2.4083 2.6545 H
-0.8197 3.5243 7.6210 H
-2.5377 8.3834 0.7952 H
3.1164 -1.5040 2.7040 H
-0.9791 -0.0073 6.9122 H
0.3195 6.3631 5.7122 H
-3.5960 6.8868 3.4129 H
4.3342 -1.0734 4.9665 H
2.4568 6.1654 0.7457 H
-0.8197 -2.4508 5.7617 H
4.1747 1.3062 7.6705 H
4.1747 -1.2989 7.6579 H
2.0374 1.5040 2.7040 H
-1.3985 -0.6642 4.1586 H
5.3139 2.8315 3.4129 H
5.3139 8.8286 0.0495 H
-3.1164 4.1949 4.2577 H
-2.0374 5.6989 6.8626 H
3.2759 1.9418 4.9538 H
0.8590 -2.4296 6.3122 Ir
-0.8590 0.6074 5.2602 Ir
6.0129 -0.6074 5.2602 Ir
-1.7180 -2.4296 4.2081 Ir
5.1539 0.0000 0.0000 Ir
2.5769 1.8222 1.0520 Ir
3.4359 4.8591 0.0000 Ir
-0.8590 7.8961 1.0520 Ir
1.7180 2.4296 4.2081 Ir
0.0000 0.0000 0.0000 Ir
-2.5769 5.4665 3.1561 Ir
4.2949 -3.0370 7.3642 Ir
2.5769 7.2887 2.1041 Ir
3.4359 -2.4296 4.2081 Ir
4.2949 4.2517 3.1561 Ir
-0.8590 2.4296 2.1041 Ir
0.8590 3.0370 7.3642 Ir
4.2949 2.4296 6.3122 Ir
-1.7180 4.8591 0.0000 Ir
-3.4359 2.4296 4.2081 Ir
2.5769 5.4665 5.2602 Nd
-4.2949 4.8591 6.3122 Nd
7.7308 0.0000 2.1041 Nd
0.8590 -0.6074 3.1561 Nd
4.2949 0.6074 3.1561 Nd
-0.8590 4.2517 5.2602 Nd
-2.5769 -1.8222 7.3642 Nd
6.0129 6.6813 1.0520 Nd
0.8590 4.8591 2.1041 Nd
6.0129 3.0370 1.0520 Nd
-2.5769 1.8222 7.3642 Nd
2.5769 0.0000 6.3122 Nd
```

Calculated values
Volume in Å³/cell: 843
Theoretical density in g/cm3: 11.08
Electronic total energy in eV per atom: -5.13

Q: The lowest theoretical density belongs to which entry?
A: NdH6Ir